## Li4SmIn5 (PBE)

Data for a relaxed structure of Li4SmIn5.

Values from the calculation:
- uncorrected energy (eV/atom) = -2.928
- total moment (μB/cell) = 0.0
- formation energy (meV/atom) = -321

Cell: 3.530 3.530 17.091 Å, 90.00 90.00 90.00°
Element x y z (fractional)
Li  0.000  0.000  0.094
Li  0.000  0.000  0.281
Li  0.000  0.000  0.719
Li  0.000  0.000  0.906
Sm  0.000  0.000  0.500
In  0.500  0.500  0.000
In  0.500  0.500  0.188
In  0.500  0.500  0.372
In  0.500  0.500  0.628
In  0.500  0.500  0.812

## CaI2Br2 (PBE)

Data for a relaxed structure of CaI2Br2.

Values from the calculation:
- uncorrected energy (eV/atom) = -2.662
- total moment (μB/cell) = 0.0
- formation energy without anion corrections (eV/atom) = -0.972

Cell: 7.614 7.614 8.078 Å, 90.00 90.00 90.00°
Element x y z (fractional)
Ca  0.000  0.000  0.000
Ca  0.500  0.500  0.000
I  0.126  0.374  0.500
I  0.374  0.874  0.500
I  0.626  0.126  0.500
I  0.874  0.626  0.500
Br  0.178  0.678  0.000
Br  0.322  0.178  0.000
Br  0.678  0.822  0.000
Br  0.822  0.322  0.000